Entry 1:
# CaY2Rh

An optimized crystal structure of CaY2Rh (PBE, the Alexandria database).

Unit cell a=4.033 b=4.033 c=9.438 alpha=77.66 beta=77.66 gamma=60.00
Fractional positions:
Y1 0.279 0.279 0.163
Rh1 0.666 0.666 0.001
Y2 0.053 0.053 0.840
Ca1 0.501 0.501 0.496

Values from the calculation:
Energy relative to the lowest polymorph listed for this composition   0.016 eV per atom
Symmetry   No. 160

Entry 2:
# Cs3TiCr

An optimized crystal structure of Cs3TiCr (PBE, the Alexandria database).

Unit cell a=7.176 b=7.176 c=7.176 alpha=90.00 beta=90.00 gamma=90.00
Each line ends with the local moment (μB).
Fractional positions:
Cs1 0.000 0.500 0.000  0.04
Cs2 0.500 0.000 0.000  0.04
Cs3 0.000 0.000 0.500  0.04
Ti1 0.000 0.000 0.000  2.19
Cr1 0.500 0.500 0.500  4.30

Values from the calculation:
Symmetry   No. 221

no.,size of the total moment (μB per formula unit),formation enthalpy at 0 K (meV per atom)
1,0.00,-370
2,9.04,1380